No. 1
! GGA-PBE Tc2HS, relaxed; values from VASP
&SYSTEM
  ibrav = 0, nat = 4, ntyp = 3
/
ATOMIC_SPECIES
S 32.06 S.upf
Tc 98.00 Tc.upf
H 1.01 H.upf
CELL_PARAMETERS angstrom
-2.289 -1.843 2.695
-0.880 1.812 3.441
-3.710 1.291 0.681
ATOMIC_POSITIONS crystal
S 0.500 0.500 0.500
Tc 0.750 0.750 0.750
H 0.000 0.000 0.000
Tc 0.250 0.250 0.250
! relative energy among the computed polymorphs	207	meV/atom
! DOS at the Fermi energy	1.03	states/eV per atom
! total magnetic moment	0.00	μB/cell

=====

No. 2
! GGA-PBE TcHS3, relaxed; values from VASP
&SYSTEM
  ibrav = 0, nat = 5, ntyp = 3
/
ATOMIC_SPECIES
S 32.06 S.upf
Tc 98.00 Tc.upf
H 1.01 H.upf
CELL_PARAMETERS angstrom
3.952 0.000 0.000
0.000 3.952 0.000
0.000 0.000 3.952
ATOMIC_POSITIONS crystal
S 0.000 0.500 0.000
S 0.500 0.000 0.000
Tc 0.500 0.500 0.500
H 0.000 0.000 0.000
S 0.000 0.000 0.500
! relative energy among the computed polymorphs	398	meV/atom
! DOS at the Fermi energy	0.88	states/eV per atom
! total magnetic moment	0.00	μB/cell

=====

No. 3
! GGA-PBE TcHS3, relaxed; values from VASP
&SYSTEM
  ibrav = 0, nat = 5, ntyp = 3
/
ATOMIC_SPECIES
S 32.06 S.upf
H 1.01 H.upf
Tc 98.00 Tc.upf
CELL_PARAMETERS angstrom
-2.148 -1.436 -3.843
3.036 -3.473 -0.399
-2.759 -2.705 2.553
ATOMIC_POSITIONS crystal
S 0.000 0.000 0.500
H 0.500 0.500 0.500
S 0.500 0.000 0.000
Tc 0.000 0.000 0.000
S 0.000 0.500 0.000
! relative energy among the computed polymorphs	0	meV/atom
! DOS at the Fermi energy	0.87	states/eV per atom
! total magnetic moment	0.91	μB/cell

=====

No. 4
! GGA-PBE Tc2HS, relaxed; values from VASP
&SYSTEM
  ibrav = 0, nat = 8, ntyp = 3
/
ATOMIC_SPECIES
Tc 98.00 Tc.upf
H 1.01 H.upf
S 32.06 S.upf
CELL_PARAMETERS angstrom
-2.634 0.244 -3.524
-3.478 -0.949 2.534
-3.807 4.859 0.426
ATOMIC_POSITIONS crystal
Tc 0.532 0.125 0.250
Tc 0.375 0.468 0.750
Tc 0.875 0.782 0.750
H 0.250 0.750 0.500
S 0.750 0.250 0.500
H 0.500 0.500 0.000
Tc 0.218 0.625 0.250
S 0.000 0.000 0.000
! relative energy among the computed polymorphs	0	meV/atom
! DOS at the Fermi energy	0.76	states/eV per atom
! total magnetic moment	0.00	μB/cell

=====

No. 5
! GGA-PBE TcTeH2S, relaxed; values from VASP
&SYSTEM
  ibrav = 0, nat = 5, ntyp = 4
/
ATOMIC_SPECIES
H 1.01 H.upf
Tc 98.00 Tc.upf
S 32.06 S.upf
Te 127.60 Te.upf
CELL_PARAMETERS angstrom
3.787 0.000 0.000
0.000 5.361 0.000
0.000 0.000 3.787
ATOMIC_POSITIONS crystal
H 0.000 0.000 0.500
Tc 0.000 0.000 0.000
S 0.500 0.500 0.500
Te 0.000 0.500 0.000
H 0.500 0.000 0.000
! DOS at the Fermi energy	0.61	states/eV per atom
! uncorrected energy	-4.3091	eV/atom
! total magnetic moment	1.39	μB/cell

=====

No. 6
! GGA-PBE TeH2S, relaxed; values from VASP
&SYSTEM
  ibrav = 0, nat = 4, ntyp = 3
/
ATOMIC_SPECIES
H 1.01 H.upf
Te 127.60 Te.upf
S 32.06 S.upf
CELL_PARAMETERS angstrom
-0.110 3.679 0.578
-1.470 -0.596 3.381
6.749 -0.871 1.130
ATOMIC_POSITIONS crystal
H 0.097 0.070 0.825
H 0.989 0.972 0.883
Te 0.671 0.742 0.294
S 0.249 0.232 0.406
! relative energy among the computed polymorphs	150	meV/atom
! total magnetic moment	0.00	μB/cell